1.
# GGA-PBE SnSbSI2, optimized geometry
data_SnSbSI2
_cell_length_a 5.5947
_cell_length_b 5.5947
_cell_length_c 5.2962
_cell_angle_alpha 90.00
_cell_angle_beta 90.00
_cell_angle_gamma 90.00
_space_group_name_H-M_alt 'P 4/m m m'
_space_group_IT_number 123
_space_group_name_Hall '-P 4 2'
loop_
_atom_site_label
_atom_site_type_symbol
_atom_site_fract_x
_atom_site_fract_y
_atom_site_fract_z
Sn1 Sn 0.0000 0.0000 0.0000
Sb1 Sb 0.5000 0.5000 0.0000
S1 S 0.5000 0.5000 0.5000
I1 I 0.0000 0.5000 0.5000
# - ΔE_f (raw): 0.414 eV per atom
# - E above lowest polymorph: 0.000 eV/atom

---

2.
# GGA-PBE Sn2SbS2I3, optimized geometry
data_Sn2SbS2I3
_cell_length_a 4.3246
_cell_length_b 14.5899
_cell_length_c 16.1104
_cell_angle_alpha 90.00
_cell_angle_beta 90.00
_cell_angle_gamma 90.00
_space_group_name_H-M_alt 'C m c m'
_space_group_IT_number 63
_space_group_name_Hall '-C 2c 2'
loop_
_atom_site_label
_atom_site_type_symbol
_atom_site_fract_x
_atom_site_fract_y
_atom_site_fract_z
Sn1 Sn 0.0000 0.1347 0.0214
Sb1 Sb 0.0000 0.2030 0.7500
S1 S 0.0000 0.2706 0.5851
I1 I 0.0000 0.1504 0.2500
I2 I 0.0000 0.4287 0.1339
# - ΔE_f (raw): -0.323 eV per atom
# - E above lowest polymorph: 0.043 eV/atom

---

3.
# GGA-PBE SnSbSI2, optimized geometry
data_SnSbSI2
_cell_length_a 5.8464
_cell_length_b 5.8464
_cell_length_c 6.2031
_cell_angle_alpha 90.00
_cell_angle_beta 90.00
_cell_angle_gamma 90.00
_space_group_name_H-M_alt 'P 4/m m m'
_space_group_IT_number 123
_space_group_name_Hall '-P 4 2'
loop_
_atom_site_label
_atom_site_type_symbol
_atom_site_fract_x
_atom_site_fract_y
_atom_site_fract_z
Sn1 Sn 0.0000 0.0000 0.0000
Sb1 Sb 0.0000 0.0000 0.5000
S1 S 0.5000 0.5000 0.0000
I1 I 0.0000 0.5000 0.5000
# - ΔE_f (raw): 0.555 eV per atom
# - E above lowest polymorph: 0.141 eV/atom